## YBi2PtN (GGA-PBEsol)

Data for YBi2PtN after structural relaxation.

Unit cell a=5.842 b=5.842 c=5.041 alpha=90.00 beta=90.00 gamma=90.00
Space group P4/mmm (No. 123)
Asymmetric unit:
Y (0.000, 0.000, 0.000)
Bi (0.000, 0.500, 0.000)
Pt (0.000, 0.000, 0.500)
N (0.500, 0.500, 0.500)

Results
- Calculated volume: 34.407 A^3/atom
- Formation energy without anion corrections: 1.63 eV/atom